Entry 1:
Computed, not measured: an optimized crystal structure of Cd2InBr at the PBE level of DFT.

Cell lengths 6.247, 6.247, 6.247 Å; angles 145.63, 126.84, 64.85 degrees
Fractional coordinates of all 4 atoms:
Cd: 0.995 0.995 0.000
Cd: 0.759 0.259 0.500
Br: 0.240 0.740 0.500
In: 0.506 0.506 0.000

Output
E: -1.68 eV per atom
polymorph energy (0 for the lowest one): 1.31 kcal/mol of atoms
formation energy from raw total energies: -120 meV/atom
D(E_F): 1.47 states/eV per cell

---

Entry 2:
Computed, not measured: an optimized crystal structure of CdInBr2 at the PBE level of DFT.

Cell lengths 6.486, 6.486, 9.418 Å; angles 69.86, 69.86, 90.00 degrees
Fractional coordinates of all 8 atoms:
Cd: 0.500 0.500 0.000
Cd: 0.250 0.750 0.500
Br: 0.572 0.125 0.250
Br: 0.178 0.625 0.250
Br: 0.375 0.428 0.750
Br: 0.875 0.822 0.750
In: 0.000 0.000 0.000
In: 0.750 0.250 0.500

Output
E: -2.16 eV per atom
polymorph energy (0 for the lowest one): 3.27 kcal/mol of atoms
formation energy from raw total energies: -410 meV/atom
D(E_F): 0.63 states/eV per cell

---

Entry 3:
Computed, not measured: an optimized crystal structure of Cd2InBr at the PBE level of DFT.

Cell lengths 5.497, 5.497, 3.536 Å; angles 90.00, 90.00, 90.00 degrees
Fractional coordinates of all 4 atoms:
Cd: 0.000 0.000 0.000
Cd: 0.500 0.500 0.000
Br: 0.000 0.500 0.500
In: 0.500 0.000 0.500

Output
E: -1.65 eV per atom
polymorph energy (0 for the lowest one): 2.05 kcal/mol of atoms
formation energy from raw total energies: -88 meV/atom
D(E_F): 0.79 states/eV per cell

---

Entry 4:
Computed, not measured: an optimized crystal structure of Cd2InBr at the PBE level of DFT.

Cell lengths 5.004, 3.709, 7.220 Å; angles 59.76, 90.00, 90.00 degrees
Fractional coordinates of all 4 atoms:
Cd: 0.000 0.877 0.125
Cd: 0.500 0.378 0.125
Br: 0.500 0.872 0.625
In: 0.000 0.373 0.625

Output
E: -1.74 eV per atom
polymorph energy (0 for the lowest one): 0.00 kcal/mol of atoms
formation energy from raw total energies: -177 meV/atom
D(E_F): 1.11 states/eV per cell

---

Entry 5:
Computed, not measured: an optimized crystal structure of Cd4InBr8 at the PBE level of DFT.

Cell lengths 8.742, 8.742, 8.742 Å; angles 60.00, 60.00, 60.00 degrees
Fractional coordinates of all 13 atoms:
Cd: 0.891 0.370 0.370
Cd: 0.370 0.891 0.370
Cd: 0.370 0.370 0.891
Cd: 0.370 0.370 0.370
In: 0.750 0.750 0.750
Br: 0.587 0.138 0.138
Br: 0.138 0.587 0.138
Br: 0.138 0.138 0.587
Br: 0.138 0.138 0.138
Br: 0.186 0.605 0.605
Br: 0.605 0.186 0.605
Br: 0.605 0.605 0.186
Br: 0.605 0.605 0.605

Output
E: -2.20 eV per atom
formation energy from raw total energies: -676 meV/atom
D(E_F): 3.93 states/eV per cell

---

Entry 6:
Computed, not measured: an optimized crystal structure of Cd2InBr at the PBE level of DFT.

Cell lengths 5.500, 5.500, 5.500 Å; angles 60.00, 60.00, 60.00 degrees
Fractional coordinates of all 4 atoms:
Cd: 0.000 0.000 0.000
Cd: 0.750 0.750 0.750
Br: 0.500 0.500 0.500
In: 0.250 0.250 0.250

Output
E: -1.66 eV per atom
polymorph energy (0 for the lowest one): 1.87 kcal/mol of atoms
formation energy from raw total energies: -95 meV/atom
D(E_F): 0.63 states/eV per cell

---

Entry 7:
Computed, not measured: an optimized crystal structure of Cd2InBr2 at the PBE level of DFT.

Cell lengths 6.036, 6.036, 6.123 Å; angles 60.47, 60.47, 90.00 degrees
Fractional coordinates of all 5 atoms:
Cd: 0.344 0.344 0.311
Cd: 0.656 0.656 0.689
Br: 0.750 0.250 0.500
Br: 0.250 0.750 0.500
In: 0.000 0.000 0.000

Output
E: -1.90 eV per atom
polymorph energy (0 for the lowest one): 0.00 kcal/mol of atoms
formation energy from raw total energies: -320 meV/atom
D(E_F): 1.93 states/eV per cell

---

Entry 8:
Computed, not measured: an optimized crystal structure of Cd2In3Br8 at the PBE level of DFT.

Cell lengths 8.210, 8.210, 9.609 Å; angles 64.71, 64.71, 60.00 degrees
Fractional coordinates of all 13 atoms:
Cd: 0.596 0.596 0.213
Cd: 0.404 0.404 0.787
In: 0.000 0.000 0.000
In: 0.816 0.816 0.552
In: 0.184 0.184 0.448
Br: 0.701 0.701 0.898
Br: 0.299 0.299 0.102
Br: 0.209 0.745 0.301
Br: 0.745 0.209 0.301
Br: 0.745 0.745 0.301
Br: 0.255 0.791 0.699
Br: 0.791 0.255 0.699
Br: 0.255 0.255 0.699

Output
E: -2.45 eV per atom
polymorph energy (0 for the lowest one): 1.28 kcal/mol of atoms
formation energy from raw total energies: -644 meV/atom
D(E_F): 6.37 states/eV per cell

---

Entry 9:
Computed, not measured: an optimized crystal structure of CdInBr4 at the PBE level of DFT.

Cell lengths 4.132, 7.258, 13.618 Å; angles 89.41, 90.00, 90.00 degrees
Fractional coordinates of all 12 atoms:
Cd: 0.000 0.000 0.500
Cd: 0.500 0.500 0.000
In: 0.500 0.500 0.500
In: 0.000 0.000 0.000
Br: 0.500 0.157 0.384
Br: 0.000 0.343 0.116
Br: 0.500 0.843 0.616
Br: 0.000 0.657 0.884
Br: 0.000 0.686 0.380
Br: 0.500 0.814 0.120
Br: 0.000 0.314 0.620
Br: 0.500 0.186 0.880

Output
E: -2.45 eV per atom
polymorph energy (0 for the lowest one): 0.00 kcal/mol of atoms
formation energy from raw total energies: -725 meV/atom
D(E_F): 8.62 states/eV per cell

---

Entry 10:
Computed, not measured: an optimized crystal structure of CdInBr at the PBE level of DFT.

Cell lengths 4.594, 4.594, 5.468 Å; angles 90.00, 90.00, 120.00 degrees
Fractional coordinates of all 3 atoms:
Cd: 0.667 0.333 0.347
Br: 0.000 0.000 0.991
In: 0.333 0.667 0.662

Output
E: -2.05 eV per atom
polymorph energy (0 for the lowest one): 0.00 kcal/mol of atoms
formation energy from raw total energies: -278 meV/atom
D(E_F): 0.28 states/eV per cell

---

Entry 11:
Computed, not measured: an optimized crystal structure of Cd2InBr at the PBE level of DFT.

Cell lengths 3.914, 3.914, 8.627 Å; angles 76.89, 76.89, 60.00 degrees
Fractional coordinates of all 4 atoms:
Cd: 0.082 0.082 0.755
Cd: 0.253 0.253 0.241
In: 0.667 0.667 0.998
Br: 0.498 0.498 0.507

Output
E: -1.73 eV per atom
polymorph energy (0 for the lowest one): 0.27 kcal/mol of atoms
formation energy from raw total energies: -165 meV/atom
D(E_F): 1.43 states/eV per cell

---

Entry 12:
Computed, not measured: an optimized crystal structure of Cd2InBr at the PBE level of DFT.

Cell lengths 3.689, 3.689, 7.903 Å; angles 90.00, 90.00, 90.00 degrees
Fractional coordinates of all 4 atoms:
Cd: 0.000 0.000 0.005
Cd: 0.000 0.000 0.495
Br: 0.500 0.500 0.750
In: 0.500 0.500 0.250

Output
E: -1.70 eV per atom
polymorph energy (0 for the lowest one): 0.76 kcal/mol of atoms
formation energy from raw total energies: -144 meV/atom
D(E_F): 0.86 states/eV per cell